Record 1
This record from Alexandria via LeMat-Bulk describes a relaxed structure of TaTi3Co. The functional is PBE-GGA.

Unit cell a=3.0462 b=6.7361 c=7.9871 alpha=102.46 beta=100.96 gamma=90.02
With the nearest neighbours (Å) after each atom.
Positions (direct):
Ta (0.1001, 0.0486, 0.1988)  9 Ti 2.80-3.05, 3 Ta 3.04-3.05
Ta (0.8999, 0.9514, 0.8012)  9 Ti 2.80-3.05, 3 Ta 3.04-3.05
Ti (0.2991, 0.1700, 0.5978)  2 Co 2.65, 2 Ta 2.84, 4 Ti 2.89-2.90
Ti (0.3111, 0.6214, 0.6236)  2 Co 2.55, 2 Ti 2.71-2.72, 2 Ta 2.80
Ti (0.4981, 0.2789, 0.9953)  4 Co 2.56-2.64, 2 Ta 2.83
Ti (0.5019, 0.7211, 0.0047)  4 Co 2.56-2.64, 2 Ta 2.83
Ti (0.6889, 0.3786, 0.3764)  2 Co 2.55, 2 Ti 2.71-2.72, 2 Ta 2.80
Ti (0.7009, 0.8300, 0.4022)  2 Co 2.65, 2 Ta 2.84, 4 Ti 2.89-2.90
Co (0.0977, 0.5556, 0.1957)  8 Ti 2.55-2.65
Co (0.9023, 0.4444, 0.8043)  8 Ti 2.55-2.65

- ΔH_f (0 K) (eV per atom) = -0.126
- SG = P-1, No. 2
- E above lowest polymorph (eV/atom) = 0.000

Record 2
This record from Alexandria via LeMat-Bulk describes a relaxed structure of BeSiAu2. The functional is PBE-GGA.

Unit cell a=6.1755 b=6.1755 c=6.1755 alpha=154.22 beta=141.93 gamma=46.55
With the nearest neighbours (Å) after each atom.
Positions (direct):
Be (0.0000, 0.0000, 0.0000)  6 Au 2.47-2.48, 2 Si 2.61, 2 Be 2.76
Si (0.1955, 0.6955, 0.5000)  2 Be 2.61, 6 Au 2.71-2.81, 2 Si 2.76
Au (0.5361, 0.5361, 0.0000)  4 Be 2.47, 2 Si 2.71, 2 Au 2.76
Au (0.8187, 0.3187, 0.5000)  2 Be 2.48, 2 Au 2.76

- SG = Imm2, No. 44
- E (eV per atom) = -3.85

Record 3
This record from Alexandria via LeMat-Bulk describes a relaxed structure of LiLa2Sm. The functional is PBE-GGA.

Unit cell a=3.6059 b=3.6059 c=12.1769 alpha=90.00 beta=90.00 gamma=120.00
With the nearest neighbours (Å) after each atom.
Positions (direct):
Li (0.0000, 0.0000, 0.0000)  4 La 3.33-3.57, 6 Li 3.61
La (0.0000, 0.0000, 0.7264)  1 Li 3.33, 6 La 3.61, 3 Sm 3.62
La (0.6667, 0.3333, 0.2380)  3 Li 3.57, 6 La 3.61, 3 Sm 3.64
Sm (0.3333, 0.6667, 0.4836)  6 Sm 3.61, 6 La 3.62-3.64

- ΔH_f (0 K) (eV per atom) = 0.118
- SG = P3m1, No. 156
- E above lowest polymorph (eV/atom) = 0.057

Record 4
This record from Alexandria via LeMat-Bulk describes a relaxed structure of YScTl2. The functional is PBE-GGA.

Unit cell a=5.2597 b=5.2597 c=3.6994 alpha=90.00 beta=90.00 gamma=90.00
With the nearest neighbours (Å) after each atom.
Positions (direct):
Y (0.0000, 0.0000, 0.0000)  8 Tl 3.22
Sc (0.5000, 0.5000, 0.0000)  8 Tl 3.22
Tl (0.0000, 0.5000, 0.5000)  4 Sc 3.22, 4 Y 3.22
Tl (0.5000, 0.0000, 0.5000)  4 Sc 3.22, 4 Y 3.22

- ΔH_f (0 K) (eV per atom) = -0.296
- SG = P4/mmm, No. 123